Entry from the Open Quantum Materials Database: an optimized crystal structure of Pr2SiGeAu2 (PBE).

Results
volume	139.6	Å³/cell
total magnetization	0.01	μB per formula unit
crystal system	hexagonal
energy	-5.166	eV per atom

Structure (CIF):
```
data_Pr2SiGeAu2
_chemical_formula_sum 'Pr2 Si1 Ge1 Au2'
_space_group_name_H-M_alt 'P -6 m 2'
_space_group_IT_number 187
_space_group_name_Hall 'P -6 2'
_cell_length_a 4.4215
_cell_length_b 4.4215
_cell_length_c 8.2427
_cell_angle_alpha 90.00
_cell_angle_beta 90.00
_cell_angle_gamma 120.00
loop_
_atom_site_label
_atom_site_fract_x
_atom_site_fract_y
_atom_site_fract_z
Pr1 0.0000 0.0000 0.2483
Si1 0.6667 0.3333 0.0000
Ge1 0.3333 0.6667 0.5000
Au1 0.3333 0.6667 0.0000
Au2 0.6667 0.3333 0.5000
```

Entry from the Open Quantum Materials Database: an optimized crystal structure of PrSmGe2Au2 (PBE).

Results
volume	136.6	Å³/cell
total magnetization	0.00	μB per formula unit
crystal system	trigonal
energy	-5.048	eV per atom

Structure (CIF):
```
data_PrSmGe2Au2
_chemical_formula_sum 'Pr1 Sm1 Ge2 Au2'
_space_group_name_H-M_alt 'P 3 m 1'
_space_group_IT_number 156
_cell_length_a 4.5359
_cell_length_b 4.5359
_cell_length_c 7.6665
_cell_angle_alpha 90.00
_cell_angle_beta 90.00
_cell_angle_gamma 120.00
loop_
_space_group_symop_operation_xyz
'x,y,z'
'-y,x-y,z'
'-x+y,-x,z'
'-y,-x,z'
'-x+y,y,z'
'x,x-y,z'
loop_
_atom_site_label
_atom_site_fract_x
_atom_site_fract_y
_atom_site_fract_z
Pr1 0.0000 0.0000 0.0000
Sm1 0.0000 0.0000 0.4986
Ge1 0.3333 0.6667 0.7079
Ge2 0.6667 0.3333 0.2182
Au1 0.3333 0.6667 0.2853
Au2 0.6667 0.3333 0.7638
```

Entry from the Open Quantum Materials Database: an optimized crystal structure of TbPrGe2Au2 (PBE).

Results
volume	134.0	Å³/cell
total magnetization	0.00	μB per formula unit
crystal system	trigonal
energy	-5.036	eV per atom

Structure (CIF):
```
data_TbPrGe2Au2
_chemical_formula_sum 'Tb1 Pr1 Ge2 Au2'
_space_group_name_H-M_alt 'P 3 m 1'
_space_group_IT_number 156
_cell_length_a 4.5192
_cell_length_b 4.5192
_cell_length_c 7.5773
_cell_angle_alpha 90.00
_cell_angle_beta 90.00
_cell_angle_gamma 120.00
loop_
_space_group_symop_operation_xyz
'x,y,z'
'-y,x-y,z'
'-x+y,-x,z'
'-y,-x,z'
'-x+y,y,z'
'x,x-y,z'
loop_
_atom_site_label
_atom_site_fract_x
_atom_site_fract_y
_atom_site_fract_z
Tb1 0.0000 0.0000 0.0000
Pr1 0.0000 0.0000 0.5025
Ge1 0.3333 0.6667 0.2051
Ge2 0.6667 0.3333 0.7216
Au1 0.3333 0.6667 0.7995
Au2 0.6667 0.3333 0.2619
```

Entry from the Open Quantum Materials Database: an optimized crystal structure of PrTmGe2Au2 (PBE).

Results
volume	131.3	Å³/cell
total magnetization	0.00	μB per formula unit
crystal system	trigonal
energy	-4.998	eV per atom

Structure (CIF):
```
data_PrTmGe2Au2
_chemical_formula_sum 'Pr1 Tm1 Ge2 Au2'
_space_group_name_H-M_alt 'P 3 m 1'
_space_group_IT_number 156
_cell_length_a 4.4949
_cell_length_b 4.4949
_cell_length_c 7.5015
_cell_angle_alpha 90.00
_cell_angle_beta 90.00
_cell_angle_gamma 120.00
loop_
_space_group_symop_operation_xyz
'x,y,z'
'-y,x-y,z'
'-x+y,-x,z'
'-y,-x,z'
'-x+y,y,z'
'x,x-y,z'
loop_
_atom_site_label
_atom_site_fract_x
_atom_site_fract_y
_atom_site_fract_z
Pr1 0.0000 0.0000 0.0000
Tm1 0.0000 0.0000 0.4963
Ge1 0.3333 0.6667 0.2208
Ge2 0.6667 0.3333 0.6987
Au1 0.3333 0.6667 0.7515
Au2 0.6667 0.3333 0.3078
```